(1)
Crystalline ScCuSe2Br at its relaxed geometry, computed with PBE-GGA.

Geometry as extended XYZ:
```
5
Lattice="-2.042 -1.393 4.191 3.358 -3.489 0.476 2.820 3.040 2.384" Properties=species:S:1:pos:R:3 pbc="T T T"
Br 1.410 1.520 1.192
Cu 0.000 0.000 0.000
Se -1.021 -0.697 2.096
Sc 2.068 -0.921 3.526
Se 1.679 -1.744 0.238
```

distance to the lowest polymorph of the same formula = 45.4 meV per atom
crystal system = tetragonal
ΔE_f (raw) = -224 meV/atom
total energy = -20.2 eV/cell



(2)
Crystalline InTe2SeI at its relaxed geometry, computed with PBE-GGA.

Geometry as extended XYZ:
```
5
Lattice="5.761 0.000 0.000 0.000 5.761 0.000 0.000 0.000 5.608" Properties=species:S:1:pos:R:3 pbc="T T T"
Te 2.880 0.000 0.000
In 0.000 0.000 0.000
Se 2.880 2.880 2.804
I 0.000 0.000 2.804
Te 0.000 2.880 0.000
```

distance to the lowest polymorph of the same formula = 402.0 meV per atom
crystal system = tetragonal
ΔE_f (raw) = 599 meV/atom
total energy = -11.1 eV/cell



(3)
Crystalline LiSmTeO at its relaxed geometry, computed with PBE-GGA.

Geometry as extended XYZ:
```
8
Lattice="-1.848 -0.442 -3.662 3.669 -0.643 -1.774 -0.891 -9.476 1.594" Properties=species:S:1:pos:R:3 pbc="T T T"
Li 0.910 -0.543 -2.718
O 0.465 -5.281 -1.921
Li 0.000 0.000 0.000
Te -1.091 -1.995 -1.532
Sm 1.491 -3.977 -0.272
Te 1.110 -8.024 0.409
Sm -1.471 -6.041 -0.852
O -0.445 -4.738 0.797
```

crystal system = tetragonal
ΔE_f (raw) = -2187 meV/atom
total energy = -47.0 eV/cell



Which of these has the highest ΔE_f (raw)?
InTe2SeI



The lowest total energy belongs to which entry?
LiSmTeO